Entry 1:
Density functional theory data (PBE) for a relaxed AgN crystal.

Computed properties:
The formation energy without anion corrections is 0.26 eV/atom. The calculation puts the energy above the most stable polymorph in this dataset at 0 meV per atom. As for the total magnetization: 0.000 μB/f.u. The value obtained for the density of states at the Fermi level is 0.51 states/eV/f.u. The final energy comes out at -5.33 eV per atom.

Cell: 4.839 5.645 16.774 Å, 90.00 90.00 90.00°
Fractional positions:
N 0.838 0.014 0.728
N 0.338 0.517 0.729
N 0.662 0.017 0.771
N 0.162 0.514 0.772
N 0.662 0.986 0.228
N 0.838 0.983 0.271
N 0.338 0.486 0.272
N 0.162 0.483 0.229
Ag 0.531 0.625 0.000
Ag 0.031 0.875 0.000
Ag 0.969 0.375 0.500
Ag 0.531 0.125 0.000
Ag 0.969 0.875 0.500
Ag 0.469 0.125 0.500
Ag 0.469 0.625 0.500
Ag 0.031 0.375 0.000

=====

Entry 2:
Density functional theory data (PBE) for a relaxed Sc3Ir2Pb crystal.

Computed properties:
As for the energy of formation: -0.80 eV/atom. As for the total magnetization: 0.000 μB/f.u. The value obtained for the density of states at the Fermi level is 1.91 states/eV/f.u. The final energy comes out at -7.54 eV per atom.

Cell: 3.176 3.176 11.620 Å, 90.00 90.00 90.00°
Fractional positions:
Sc 0.000 0.000 0.000
Sc 0.000 0.000 0.712
Sc 0.000 0.000 0.288
Ir 0.500 0.500 0.852
Ir 0.500 0.500 0.148
Pb 0.500 0.500 0.500

=====

Entry 3:
Density functional theory data (PBE) for a relaxed TbSi2Sn2Au7 crystal.

Computed properties:
The formation energy without anion corrections is -0.20 eV/atom. As for the total magnetization: 0.000 μB/f.u. The value obtained for the density of states at the Fermi level is 4.47 states/eV/f.u. The final energy comes out at -4.07 eV per atom.

Cell: 4.238 4.238 15.443 Å, 81.91 81.91 89.88°
Fractional positions:
Si 0.622 0.622 0.764
Si 0.378 0.378 0.236
Au 0.076 0.576 0.853
Au 0.301 0.301 0.396
Au 0.576 0.076 0.853
Au 0.699 0.699 0.604
Au 0.924 0.424 0.147
Au 0.500 0.500 0.000
Au 0.424 0.924 0.147
Sn 0.789 0.789 0.419
Sn 0.211 0.211 0.581
Tb 0.000 0.000 0.000

=====

Entry 4:
Density functional theory data (PBE) for a relaxed HgTe3Os crystal.

Computed properties:
The formation energy without anion corrections is 1.95 eV/atom. The calculation puts the energy above the most stable polymorph in this dataset at 1316 meV per atom. As for the total magnetization: 0.000 μB/f.u. The value obtained for the density of states at the Fermi level is 5.62 states/eV/f.u. The final energy comes out at -2.24 eV per atom.

Cell: 5.409 5.409 5.409 Å, 90.00 90.00 90.00°
Fractional positions:
Te 0.000 0.500 0.000
Te 0.000 0.000 0.500
Te 0.500 0.000 0.000
Os 0.500 0.500 0.500
Hg 0.000 0.000 0.000

=====

Entry 5:
Density functional theory data (PBE) for a relaxed CrCd4Pb crystal.

Computed properties:
As for the energy of formation: 0.27 eV/atom. As for the total magnetization: 4.444 μB/f.u. The value obtained for the density of states at the Fermi level is 1.47 states/eV/f.u. The final energy comes out at -2.56 eV per atom.

Cell: 5.849 5.849 5.849 Å, 60.00 60.00 60.00°
Fractional positions:
Pb 0.000 0.000 0.000
Cd 0.873 0.376 0.376
Cd 0.376 0.376 0.376
Cd 0.376 0.873 0.376
Cd 0.376 0.376 0.873
Cr 0.750 0.750 0.750

=====

Entry 6:
Density functional theory data (PBE) for a relaxed Rb4U3BiTe8 crystal.

Computed properties:
The formation energy without anion corrections is -0.77 eV/atom. As for the total magnetization: 8.999 μB/f.u. The value obtained for the density of states at the Fermi level is 12.61 states/eV/f.u. The final energy comes out at -4.94 eV per atom.

Cell: 9.168 10.103 9.163 Å, 116.96 120.02 90.00°
Fractional positions:
Te 0.734 0.702 0.468
Te 0.237 0.703 0.473
Te 0.730 0.703 0.967
Te 0.270 0.297 0.033
Te 0.266 0.298 0.532
Te 0.763 0.297 0.527
Te 0.763 0.297 0.033
Te 0.237 0.703 0.967
Rb 0.500 0.000 0.000
Rb 0.500 0.000 0.500
Rb 0.000 0.000 0.500
Rb 0.000 0.000 0.000
U 0.500 0.500 0.500
U 0.500 0.500 0.000
U 0.000 0.500 0.500
Bi 0.000 0.500 0.000

=====

Entry 7:
Density functional theory data (PBE) for a relaxed CsLi3Se crystal.

Computed properties:
The formation energy without anion corrections is 0.75 eV/atom. The calculation puts the energy above the most stable polymorph in this dataset at 1165 meV per atom. As for the total magnetization: 0.000 μB/f.u. The value obtained for the density of states at the Fermi level is 2.53 states/eV/f.u. The final energy comes out at -1.27 eV per atom.

Cell: 5.374 5.374 5.374 Å, 90.00 90.00 90.00°
Fractional positions:
Li 0.500 0.000 0.000
Li 0.000 0.000 0.500
Li 0.000 0.500 0.000
Se 0.500 0.500 0.500
Cs 0.000 0.000 0.000

=====

Entry 8:
Density functional theory data (PBE) for a relaxed Ce2Cu2S5 crystal.

Computed properties:
The formation energy without anion corrections is -1.19 eV/atom. As for the total magnetization: 1.052 μB/f.u. The value obtained for the density of states at the Fermi level is 8.62 states/eV/f.u. The final energy comes out at -5.71 eV per atom.

Cell: 4.663 5.791 8.227 Å, 115.00 106.46 90.00°
Fractional positions:
S 0.198 0.600 0.395
S 0.587 0.810 0.174
S 0.413 0.190 0.826
S 0.802 0.400 0.605
S 0.000 0.000 0.000
Ce 0.612 0.336 0.225
Ce 0.388 0.664 0.775
Cu 0.098 0.787 0.195
Cu 0.902 0.213 0.805

=====

Entry 9:
Density functional theory data (PBE) for a relaxed Cs5Br6 crystal.

Computed properties:
The formation energy without anion corrections is -1.52 eV/atom. As for the total magnetization: 1.497 μB/f.u. The value obtained for the density of states at the Fermi level is 31.60 states/eV/f.u. The final energy comes out at -2.82 eV per atom.

Cell: 9.166 9.165 8.937 Å, 80.54 70.81 60.00°
Fractional positions:
Cs 0.500 0.000 0.500
Cs 0.846 0.309 0.500
Cs 0.330 0.339 0.000
Cs 0.670 0.661 0.000
Cs 0.154 0.691 0.500
Br 0.554 0.356 0.269
Br 0.267 0.000 0.252
Br 0.090 0.356 0.731
Br 0.446 0.644 0.731
Br 0.733 0.000 0.748
Br 0.910 0.644 0.269

=====

Entry 10:
Density functional theory data (PBE) for a relaxed Li2BeOs crystal.

Computed properties:
As for the energy of formation: 0.24 eV/atom. As for the total magnetization: 0.000 μB/f.u. The value obtained for the density of states at the Fermi level is 1.97 states/eV/f.u. The final energy comes out at -4.46 eV per atom.

Cell: 5.067 5.067 5.067 Å, 151.17 127.03 61.43°
Fractional positions:
Li 0.757 0.257 0.500
Li 0.014 0.014 0.000
Be 0.254 0.754 0.500
Os 0.476 0.476 0.000

=====

Entry 11:
Density functional theory data (PBE) for a relaxed Th6Cd2C crystal.

Computed properties:
As for the energy of formation: -0.05 eV/atom. As for the total magnetization: 0.000 μB/f.u. The value obtained for the density of states at the Fermi level is 11.42 states/eV/f.u. The final energy comes out at -6.23 eV per atom.

Cell: 7.094 7.095 10.039 Å, 90.00 89.99 90.00°
Fractional positions:
C 0.000 0.000 0.500
C 0.500 0.500 0.000
Th 0.499 0.500 0.750
Th 0.750 0.250 0.500
Th 0.750 0.750 0.000
Th 0.750 0.750 0.501
Th 0.250 0.250 0.499
Th 0.250 0.750 0.001
Th 0.250 0.250 0.000
Th 0.999 0.000 0.250
Th 0.750 0.250 0.999
Th 0.501 0.500 0.250
Th 0.001 0.000 0.750
Th 0.250 0.750 0.500
Cd 0.000 0.500 0.250
Cd 0.500 0.000 0.250
Cd 0.000 0.500 0.750
Cd 0.500 0.000 0.750

=====

Entry 12:
Density functional theory data (PBE) for a relaxed Ce2SmLu crystal.

Computed properties:
As for the energy of formation: 0.24 eV/atom. The calculation puts the energy above the most stable polymorph in this dataset at 135 meV per atom. As for the total magnetization: 1.498 μB/f.u. The value obtained for the density of states at the Fermi level is 10.61 states/eV/f.u. The final energy comes out at -5.04 eV per atom.

Cell: 3.335 3.335 12.534 Å, 82.36 82.36 60.00°
Fractional positions:
Sm 0.500 0.500 0.500
Ce 0.916 0.916 0.252
Ce 0.084 0.084 0.748
Lu 0.000 0.000 0.000